Version a
A relaxed Rb2Na6Pb crystal, computed with PBE.

Calculated values
DOS at the Fermi energy, states/eV/f.u.: 5.0
ρ, g cm⁻³: 2.22
Spin magnetization, μB per cell: 0.000

Geometry as CIF:
```
data_Rb2Na6Pb
_chemical_formula_sum 'Rb2 Na6 Pb1'
_symmetry_space_group_name_H-M 'P 1'
_symmetry_Int_Tables_number 1
_cell_length_a 7.349
_cell_length_b 7.408
_cell_length_c 8.169
_cell_angle_alpha 91.61
_cell_angle_beta 90.00
_cell_angle_gamma 119.73
loop_
_symmetry_equiv_pos_as_xyz
'x,y,z'
loop_
_atom_site_label
_atom_site_type_symbol
_atom_site_fract_x
_atom_site_fract_y
_atom_site_fract_z
_atom_site_occupancy
Rb1 Rb 0.331 0.662 0.882 1
Rb2 Rb 0.669 0.338 0.118 1
Na1 Na 0.677 0.847 0.316 1
Na2 Na 0.171 0.342 0.328 1
Na3 Na 0.170 0.847 0.316 1
Na4 Na 0.323 0.153 0.684 1
Na5 Na 0.829 0.658 0.672 1
Na6 Na 0.830 0.153 0.684 1
Pb1 Pb 0.000 0.000 0.000 1
```

---

Version b
A relaxed Rb2Na6Pb crystal, computed with PBE.

Calculated values
DOS at the Fermi energy, states/eV/f.u.: 4.9
ρ, g cm⁻³: 2.10
Spin magnetization, μB per cell: 0.000

Geometry as CIF:
```
data_Rb2Na6Pb
_chemical_formula_sum 'Rb2 Na6 Pb1'
_symmetry_space_group_name_H-M 'P 1'
_symmetry_Int_Tables_number 1
_cell_length_a 3.823
_cell_length_b 11.094
_cell_length_c 11.094
_cell_angle_alpha 120.00
_cell_angle_beta 90.00
_cell_angle_gamma 90.00
loop_
_symmetry_equiv_pos_as_xyz
'x,y,z'
loop_
_atom_site_label
_atom_site_type_symbol
_atom_site_fract_x
_atom_site_fract_y
_atom_site_fract_z
_atom_site_occupancy
Rb1 Rb 0.500 0.667 0.333 1
Rb2 Rb 0.500 0.333 0.667 1
Na1 Na 0.262 0.000 0.283 1
Na2 Na 0.262 0.717 0.717 1
Na3 Na 0.738 0.000 0.717 1
Na4 Na 0.738 0.717 0.000 1
Na5 Na 0.738 0.283 0.283 1
Na6 Na 0.262 0.283 0.000 1
Pb1 Pb 0.000 0.000 0.000 1
```

---

So which one is most stable? That would be version a, about 6.2 kJ/mol of atoms below the next structure.

---

Version a
A relaxed RbNaPb3 crystal, computed with PBE.

Calculated values
DOS at the Fermi energy, states/eV/f.u.: 1.7
ρ, g cm⁻³: 6.79
Spin magnetization, μB per cell: 0.000

Geometry as CIF:
```
data_RbNaPb3
_chemical_formula_sum 'Rb2 Na2 Pb6'
_symmetry_space_group_name_H-M 'P 1'
_symmetry_Int_Tables_number 1
_cell_length_a 5.747
_cell_length_b 6.924
_cell_length_c 9.619
_cell_angle_alpha 110.99
_cell_angle_beta 90.00
_cell_angle_gamma 90.00
loop_
_symmetry_equiv_pos_as_xyz
'x,y,z'
loop_
_atom_site_label
_atom_site_type_symbol
_atom_site_fract_x
_atom_site_fract_y
_atom_site_fract_z
_atom_site_occupancy
Rb1 Rb 0.049 0.483 0.009 1
Rb2 Rb 0.549 0.313 0.677 1
Na1 Na 0.548 0.752 0.554 1
Na2 Na 0.048 0.045 0.132 1
Pb1 Pb 0.048 0.939 0.437 1
Pb2 Pb 0.548 0.346 0.249 1
Pb3 Pb 0.548 0.858 0.249 1
Pb4 Pb 0.048 0.450 0.438 1
Pb5 Pb 0.048 0.853 0.750 1
Pb6 Pb 0.548 0.944 0.937 1
```

---

Version b
A relaxed RbNaPb3 crystal, computed with PBE.

Calculated values
DOS at the Fermi energy, states/eV/f.u.: 1.7
ρ, g cm⁻³: 6.61
Spin magnetization, μB per cell: 0.000

Geometry as CIF:
```
data_RbNaPb3
_chemical_formula_sum 'Rb2 Na2 Pb6'
_symmetry_space_group_name_H-M 'P 1'
_symmetry_Int_Tables_number 1
_cell_length_a 6.478
_cell_length_b 7.333
_cell_length_c 8.551
_cell_angle_alpha 115.39
_cell_angle_beta 90.00
_cell_angle_gamma 90.00
loop_
_symmetry_equiv_pos_as_xyz
'x,y,z'
loop_
_atom_site_label
_atom_site_type_symbol
_atom_site_fract_x
_atom_site_fract_y
_atom_site_fract_z
_atom_site_occupancy
Rb1 Rb 0.250 0.403 0.805 1
Rb2 Rb 0.750 0.597 0.195 1
Na1 Na 0.000 0.000 0.000 1
Na2 Na 0.500 0.000 0.000 1
Pb1 Pb 0.250 0.819 0.637 1
Pb2 Pb 0.750 0.181 0.363 1
Pb3 Pb 0.250 0.382 0.339 1
Pb4 Pb 0.750 0.618 0.661 1
Pb5 Pb 0.250 0.957 0.339 1
Pb6 Pb 0.750 0.043 0.661 1
```

---

So which one is most stable? That would be version a, about 4.7 kJ/mol of atoms below the next structure.

---

Version a
A relaxed RbNaPb3 crystal, computed with PBE.

Calculated values
DOS at the Fermi energy, states/eV/f.u.: 3.9
ρ, g cm⁻³: 6.30
Spin magnetization, μB per cell: 0.000

Geometry as CIF:
```
data_RbNaPb3
_chemical_formula_sum 'Rb1 Na1 Pb3'
_symmetry_space_group_name_H-M 'P 1'
_symmetry_Int_Tables_number 1
_cell_length_a 5.774
_cell_length_b 5.774
_cell_length_c 5.774
_cell_angle_alpha 90.00
_cell_angle_beta 90.00
_cell_angle_gamma 90.00
loop_
_symmetry_equiv_pos_as_xyz
'x,y,z'
loop_
_atom_site_label
_atom_site_type_symbol
_atom_site_fract_x
_atom_site_fract_y
_atom_site_fract_z
_atom_site_occupancy
Pb1 Pb 0.000 0.500 0.000 1
Pb2 Pb 0.000 0.000 0.500 1
Pb3 Pb 0.500 0.000 0.000 1
Na1 Na 0.000 0.000 0.000 1
Rb1 Rb 0.500 0.500 0.500 1
```

---

Version b
A relaxed RbNaPb3 crystal, computed with PBE.

Calculated values
DOS at the Fermi energy, states/eV/f.u.: 3.8
ρ, g cm⁻³: 4.89
Spin magnetization, μB per cell: 0.000

Geometry as CIF:
```
data_RbNaPb3
_chemical_formula_sum 'Rb1 Na1 Pb3'
_symmetry_space_group_name_H-M 'P 1'
_symmetry_Int_Tables_number 1
_cell_length_a 6.282
_cell_length_b 6.282
_cell_length_c 6.282
_cell_angle_alpha 90.00
_cell_angle_beta 90.00
_cell_angle_gamma 90.00
loop_
_symmetry_equiv_pos_as_xyz
'x,y,z'
loop_
_atom_site_label
_atom_site_type_symbol
_atom_site_fract_x
_atom_site_fract_y
_atom_site_fract_z
_atom_site_occupancy
Pb1 Pb 0.000 0.500 0.000 1
Pb2 Pb 0.000 0.000 0.500 1
Pb3 Pb 0.500 0.000 0.000 1
Na1 Na 0.500 0.500 0.500 1
Rb1 Rb 0.000 0.000 0.000 1
```

---

So which one is most stable? That would be version a, about 58.8 kJ/mol of atoms below the next structure.

---

Version a
A relaxed Rb2Na2Pb crystal, computed with PBE.

Calculated values
DOS at the Fermi energy, states/eV/f.u.: 2.0
ρ, g cm⁻³: 3.05
Spin magnetization, μB per cell: 0.000

Geometry as CIF:
```
data_Rb2Na2Pb
_chemical_formula_sum 'Rb4 Na4 Pb2'
_symmetry_space_group_name_H-M 'P 1'
_symmetry_Int_Tables_number 1
_cell_length_a 5.973
_cell_length_b 11.444
_cell_length_c 7.397
_cell_angle_alpha 90.00
_cell_angle_beta 113.81
_cell_angle_gamma 90.00
loop_
_symmetry_equiv_pos_as_xyz
'x,y,z'
loop_
_atom_site_label
_atom_site_type_symbol
_atom_site_fract_x
_atom_site_fract_y
_atom_site_fract_z
_atom_site_occupancy
Rb1 Rb 0.917 0.684 0.835 1
Rb2 Rb 0.777 0.348 0.555 1
Rb3 Rb 0.223 0.848 0.445 1
Rb4 Rb 0.083 0.184 0.165 1
Na1 Na 0.478 0.418 0.957 1
Na2 Na 0.834 0.039 0.667 1
Na3 Na 0.166 0.539 0.333 1
Na4 Na 0.522 0.918 0.043 1
Pb1 Pb 0.379 0.146 0.759 1
Pb2 Pb 0.621 0.646 0.241 1
```

---

Version b
A relaxed Rb2Na2Pb crystal, computed with PBE.

Calculated values
DOS at the Fermi energy, states/eV/f.u.: 3.2
ρ, g cm⁻³: 3.00
Spin magnetization, μB per cell: 0.000

Geometry as CIF:
```
data_Rb2Na2Pb
_chemical_formula_sum 'Rb2 Na2 Pb1'
_symmetry_space_group_name_H-M 'P 1'
_symmetry_Int_Tables_number 1
_cell_length_a 7.011
_cell_length_b 5.519
_cell_length_c 7.524
_cell_angle_alpha 68.49
_cell_angle_beta 62.23
_cell_angle_gamma 90.00
loop_
_symmetry_equiv_pos_as_xyz
'x,y,z'
loop_
_atom_site_label
_atom_site_type_symbol
_atom_site_fract_x
_atom_site_fract_y
_atom_site_fract_z
_atom_site_occupancy
Rb1 Rb 0.702 0.202 0.596 1
Rb2 Rb 0.298 0.798 0.404 1
Na1 Na 0.236 0.500 0.000 1
Na2 Na 0.764 0.500 0.000 1
Pb1 Pb 0.000 0.000 0.000 1
```

---

Version c
A relaxed Rb2Na2Pb crystal, computed with PBE.

Calculated values
DOS at the Fermi energy, states/eV/f.u.: 3.7
ρ, g cm⁻³: 2.86
Spin magnetization, μB per cell: 0.001

Geometry as CIF:
```
data_Rb2Na2Pb
_chemical_formula_sum 'Rb4 Na4 Pb2'
_symmetry_space_group_name_H-M 'P 1'
_symmetry_Int_Tables_number 1
_cell_length_a 9.995
_cell_length_b 9.995
_cell_length_c 4.927
_cell_angle_alpha 90.00
_cell_angle_beta 90.00
_cell_angle_gamma 90.00
loop_
_symmetry_equiv_pos_as_xyz
'x,y,z'
loop_
_atom_site_label
_atom_site_type_symbol
_atom_site_fract_x
_atom_site_fract_y
_atom_site_fract_z
_atom_site_occupancy
Pb1 Pb 0.000 0.000 0.000 1
Pb2 Pb 0.500 0.500 0.000 1
Na1 Na 0.167 0.667 0.500 1
Na2 Na 0.667 0.833 0.500 1
Na3 Na 0.833 0.333 0.500 1
Na4 Na 0.333 0.167 0.500 1
Rb1 Rb 0.353 0.853 0.000 1
Rb2 Rb 0.853 0.647 0.000 1
Rb3 Rb 0.647 0.147 0.000 1
Rb4 Rb 0.147 0.353 0.000 1
```

---

So which one is most stable? That would be version a, about 2.8 kJ/mol of atoms below the next structure.